Computed, not measured: a geometry-optimized BaSr4Ag2 structure at the PBE level of DFT.

The calculated formation energy is -0.146 eV/atom. The uncorrected energy comes out at -2.20 eV per atom.

It has space group P2_1/m (No. 11), with a = 9.038 Å, b = 7.398 Å, c = 9.628 Å, α = 90.00°, β = 112.68° and γ = 90.00°. The distinct sites, in fractional coordinates, are Ba at (0.002, 0.250, 0.158), Sr at (0.241, 0.501, 0.582), Sr at (0.339, 0.750, 0.263), Sr at (0.388, 0.250, 0.019), Ag at (0.017, 0.250, 0.723) and Ag at (0.412, 0.250, 0.376).